<one>
## Ba2ScMn (meta-GGA SCAN)

Data for a crystal of Ba2ScMn relaxed with PBEsol.

Unit cell a=5.6350 b=5.6350 c=7.9844 alpha=90.00 beta=90.00 gamma=90.00
Closest atoms and distances in Å follow each position.
Fractional coordinates of all 8 atoms:
Ba1 0.0000 0.0000 0.0000  4 Ba 3.45, 4 Sc 3.45
Ba2 0.0000 0.5000 0.2500  4 Ba 3.45, 4 Mn 3.45
Ba3 0.5000 0.0000 0.7500  4 Ba 3.45, 4 Mn 3.45
Ba4 0.5000 0.5000 0.5000  4 Ba 3.45, 4 Sc 3.45
Sc1 0.0000 0.5000 0.7500  4 Ba 3.45, 4 Mn 3.45
Sc2 0.5000 0.0000 0.2500  4 Ba 3.45, 4 Mn 3.45
Mn1 0.0000 0.0000 0.5000  4 Ba 3.45, 4 Sc 3.45
Mn2 0.5000 0.5000 0.0000  4 Ba 3.45, 4 Sc 3.45

Computed properties:
* volume: 254 Å³ per cell
* crystal system: tetragonal

<two>
## Ba2ScMn (meta-GGA SCAN)

Data for a crystal of Ba2ScMn relaxed with PBEsol.

Unit cell a=3.6597 b=3.6597 c=33.4681 alpha=90.00 beta=90.00 gamma=120.00
Closest atoms and distances in Å follow each position.
Fractional coordinates of all 12 atoms:
Ba1 0.0000 0.0000 0.2420  3 Mn 3.29, 6 Ba 3.66
Ba2 0.0000 0.0000 0.7580  3 Mn 3.29, 6 Ba 3.66
Ba3 0.3333 0.6667 0.4247  3 Mn 3.29, 6 Ba 3.66
Ba4 0.3333 0.6667 0.9087  3 Mn 3.29, 6 Ba 3.66
Ba5 0.6667 0.3333 0.0913  3 Mn 3.29, 6 Ba 3.66
Ba6 0.6667 0.3333 0.5753  3 Mn 3.29, 6 Ba 3.66
Sc1 0.0000 0.0000 0.0000  6 Sc 3.66, 6 Ba 3.72
Sc2 0.3333 0.6667 0.6667  6 Sc 3.66, 6 Ba 3.72
Sc3 0.6667 0.3333 0.3333  6 Sc 3.66, 6 Ba 3.72
Mn1 0.0000 0.0000 0.5000  6 Ba 3.29, 6 Mn 3.66
Mn2 0.3333 0.6667 0.1667  6 Ba 3.29, 6 Mn 3.66
Mn3 0.6667 0.3333 0.8333  6 Ba 3.29, 6 Mn 3.66

Computed properties:
* volume: 388 Å³ per cell
* crystal system: trigonal

<three>
## Ba2ScMn (meta-GGA SCAN)

Data for a crystal of Ba2ScMn relaxed with PBEsol.

Unit cell a=3.7785 b=5.3765 c=12.2883 alpha=90.00 beta=90.00 gamma=90.00
Closest atoms and distances in Å follow each position.
Fractional coordinates of all 8 atoms:
Ba1 0.0000 0.0000 0.2014  2 Mn 3.11
Ba2 0.0000 0.0000 0.7986  2 Mn 3.11
Ba3 0.5000 0.5000 0.2986  2 Mn 3.11
Ba4 0.5000 0.5000 0.7014  2 Mn 3.11
Sc1 0.0000 0.5000 0.0000  4 Mn 3.29, 4 Ba 3.65
Sc2 0.5000 0.0000 0.5000  4 Mn 3.29, 4 Ba 3.65
Mn1 0.0000 0.5000 0.5000  4 Ba 3.11, 4 Sc 3.29
Mn2 0.5000 0.0000 0.0000  4 Ba 3.11, 4 Sc 3.29

Computed properties:
* volume: 250 Å³ per cell
* crystal system: orthorhombic

The relative energies come out as <one> 0; <two> 143; <three> 65, with values in meV per atom.

<one>
## BaYMn (meta-GGA SCAN)

Data for a crystal of BaYMn relaxed with PBEsol.

Unit cell a=7.2861 b=7.2861 c=7.2861 alpha=90.00 beta=90.00 gamma=90.00
Closest atoms and distances in Å follow each position.
Fractional coordinates of all 12 atoms:
Ba1 0.0000 0.0000 0.0000  4 Mn 3.15
Ba2 0.0000 0.5000 0.5000  4 Mn 3.15
Ba3 0.5000 0.0000 0.5000  4 Mn 3.15
Ba4 0.5000 0.5000 0.0000  4 Mn 3.15
Y1 0.0000 0.0000 0.5000  4 Mn 3.15
Y2 0.0000 0.5000 0.0000  4 Mn 3.15
Y3 0.5000 0.0000 0.0000  4 Mn 3.15
Y4 0.5000 0.5000 0.5000  4 Mn 3.15
Mn1 0.2500 0.2500 0.2500  4 Ba 3.15, 4 Y 3.15
Mn2 0.2500 0.7500 0.7500  4 Y 3.15, 4 Ba 3.15
Mn3 0.7500 0.2500 0.7500  4 Y 3.15, 4 Ba 3.15
Mn4 0.7500 0.7500 0.2500  4 Y 3.15, 4 Ba 3.15

Computed properties:
* volume: 387 Å³ per cell
* crystal system: cubic

<two>
## BaYMn (meta-GGA SCAN)

Data for a crystal of BaYMn relaxed with PBEsol.

Unit cell a=3.6356 b=3.6356 c=7.9831 alpha=90.00 beta=90.00 gamma=120.00
Closest atoms and distances in Å follow each position.
Fractional coordinates of all 3 atoms:
Ba1 0.0000 0.0000 0.0000  3 Mn 3.27, 6 Ba 3.64
Y1 0.6667 0.3333 0.4293  3 Mn 2.94
Mn1 0.3333 0.6667 0.6865  3 Y 2.94, 3 Ba 3.27

Computed properties:
* volume: 91 Å³ per cell
* crystal system: trigonal

The relative energies come out as <one> 193; <two> 0, with values in meV per atom.

<one>
## BaZrMn (meta-GGA SCAN)

Data for a crystal of BaZrMn relaxed with PBEsol.

Unit cell a=6.7618 b=6.7618 c=6.7618 alpha=90.00 beta=90.00 gamma=90.00
Closest atoms and distances in Å follow each position.
Fractional coordinates of all 12 atoms:
Ba1 0.0000 0.0000 0.0000  4 Zr 2.93, 4 Mn 2.93
Ba2 0.0000 0.5000 0.5000  4 Zr 2.93, 4 Mn 2.93
Ba3 0.5000 0.0000 0.5000  4 Zr 2.93, 4 Mn 2.93
Ba4 0.5000 0.5000 0.0000  4 Zr 2.93, 4 Mn 2.93
Zr1 0.2500 0.2500 0.2500  4 Ba 2.93
Zr2 0.2500 0.7500 0.7500  4 Ba 2.93
Zr3 0.7500 0.2500 0.7500  4 Ba 2.93
Zr4 0.7500 0.7500 0.2500  4 Ba 2.93
Mn1 0.2500 0.2500 0.7500  4 Ba 2.93
Mn2 0.2500 0.7500 0.2500  4 Ba 2.93
Mn3 0.7500 0.2500 0.2500  4 Ba 2.93
Mn4 0.7500 0.7500 0.7500  4 Ba 2.93

Computed properties:
* volume: 309 Å³ per cell
* crystal system: cubic

<two>
## BaZrMn (meta-GGA SCAN)

Data for a crystal of BaZrMn relaxed with PBEsol.

Unit cell a=3.4879 b=3.4879 c=7.1383 alpha=90.00 beta=90.00 gamma=120.00
Closest atoms and distances in Å follow each position.
Fractional coordinates of all 3 atoms:
Ba1 0.0000 0.0000 0.0000  3 Mn 3.11, 6 Ba 3.49
Zr1 0.6667 0.3333 0.4442  3 Mn 2.57
Mn1 0.3333 0.6667 0.6671  3 Zr 2.57

Computed properties:
* volume: 75 Å³ per cell
* crystal system: trigonal

<three>
## BaZrMn (meta-GGA SCAN)

Data for a crystal of BaZrMn relaxed with PBEsol.

Unit cell a=6.7044 b=6.7044 c=6.7044 alpha=90.00 beta=90.00 gamma=90.00
Closest atoms and distances in Å follow each position.
Fractional coordinates of all 12 atoms:
Ba1 0.0000 0.0000 0.0000  4 Mn 2.90
Ba2 0.0000 0.5000 0.5000  4 Mn 2.90
Ba3 0.5000 0.0000 0.5000  4 Mn 2.90
Ba4 0.5000 0.5000 0.0000  4 Mn 2.90
Zr1 0.0000 0.0000 0.5000  4 Mn 2.90
Zr2 0.0000 0.5000 0.0000  4 Mn 2.90
Zr3 0.5000 0.0000 0.0000  4 Mn 2.90
Zr4 0.5000 0.5000 0.5000  4 Mn 2.90
Mn1 0.2500 0.2500 0.2500  4 Zr 2.90, 4 Ba 2.90
Mn2 0.2500 0.7500 0.7500  4 Zr 2.90, 4 Ba 2.90
Mn3 0.7500 0.2500 0.7500  4 Zr 2.90, 4 Ba 2.90
Mn4 0.7500 0.7500 0.2500  4 Zr 2.90, 4 Ba 2.90

Computed properties:
* volume: 301 Å³ per cell
* crystal system: cubic

The relative energies come out as <one> 843; <two> 0; <three> 279, with values in meV per atom.

<one>
## BaMo3 (meta-GGA SCAN)

Data for a crystal of BaMo3 relaxed with PBEsol.

Unit cell a=3.1024 b=3.1024 c=28.8053 alpha=90.00 beta=90.00 gamma=120.00
Closest atoms and distances in Å follow each position.
Fractional coordinates of all 12 atoms:
Ba1 0.0000 0.0000 0.0000  6 Ba 3.10, 6 Mo 3.43
Ba2 0.3333 0.6667 0.6667  6 Ba 3.10, 6 Mo 3.43
Ba3 0.6667 0.3333 0.3333  6 Ba 3.10, 6 Mo 3.43
Mo1 0.0000 0.0000 0.2318  3 Mo 2.59
Mo2 0.0000 0.0000 0.5000  6 Mo 2.59
Mo3 0.0000 0.0000 0.7682  3 Mo 2.59
Mo4 0.3333 0.6667 0.1667  6 Mo 2.59
Mo5 0.3333 0.6667 0.4348  3 Mo 2.59
Mo6 0.3333 0.6667 0.8985  3 Mo 2.59
Mo7 0.6667 0.3333 0.1015  3 Mo 2.59
Mo8 0.6667 0.3333 0.5652  3 Mo 2.59
Mo9 0.6667 0.3333 0.8333  6 Mo 2.59

Computed properties:
* volume: 240 Å³ per cell
* crystal system: trigonal

<two>
## BaMo3 (meta-GGA SCAN)

Data for a crystal of BaMo3 relaxed with PBEsol.

Unit cell a=4.2357 b=4.2357 c=4.2357 alpha=90.00 beta=90.00 gamma=90.00
Closest atoms and distances in Å follow each position.
Fractional coordinates of all 4 atoms:
Ba1 0.0000 0.0000 0.0000  12 Mo 3.00
Mo1 0.0000 0.5000 0.5000  4 Ba 3.00, 8 Mo 3.00
Mo2 0.5000 0.0000 0.5000  4 Ba 3.00, 8 Mo 3.00
Mo3 0.5000 0.5000 0.0000  4 Ba 3.00, 8 Mo 3.00

Computed properties:
* volume: 76 Å³ per cell
* crystal system: cubic

The relative energies come out as <one> 0; <two> 942, with values in meV per atom.